Pu5MnRu6 | PBE-GGA | relaxed

Values from the calculation:
E (eV per atom): -11.478
Energy relative to the elements (kJ per mole of atoms): -10.1
DOS(E_F) (states/eV/f.u.): 25.8

abc: 8.1767 8.1767 4.6379
angles: 105.99 105.99 48.18
Element x y z (fractional)
Pu  0.0000  0.0000  0.0000
Pu  0.1719  0.1719  0.6688
Pu  0.3466  0.3466  0.3475
Pu  0.6534  0.6534  0.6525
Pu  0.8281  0.8281  0.3312
Mn  0.5000  0.5000  0.0000
Ru  0.0902  0.5850  0.8409
Ru  0.2422  0.7578  0.5000
Ru  0.4150  0.9098  0.1591
Ru  0.5850  0.0902  0.8409
Ru  0.7578  0.2422  0.5000
Ru  0.9098  0.4150  0.1591